1.
K8AsSe2 | GGA-PBE | optimized geometry

a = 5.4190 Å, b = 8.6029 Å, c = 9.8535 Å
α = 115.88°, β = 105.96°, γ = 90.00°
Fractional coordinates of all 11 atoms:
K1 0.0000 0.7067 0.0000
K2 0.3486 0.5677 0.6972
K3 0.0000 0.2933 0.0000
K4 0.1533 0.1533 0.3067
K5 0.6514 0.4323 0.3028
K6 0.6514 0.8704 0.3028
K7 0.8467 0.8467 0.6933
K8 0.3486 0.1296 0.6972
Se1 0.8022 0.3022 0.6044
Se2 0.1978 0.6978 0.3956
As1 0.5000 0.0000 0.0000

**Density**: 2.30 g/cm³
**Offset from the most stable computed form**: 0.0373 eV/atom
**Formation energy (no corrections)**: -614 meV/atom
**Crystal system**: orthorhombic
**Total moment**: 0.59 μB/cell
**Space-group type**: Immm, No. 71
**E_tot**: -2.4688 eV/atom
**D(E_F)**: 2.04 states/eV per cell

=====

2.
RbScOF2 | GGA-PBE | optimized geometry

a = 4.3413 Å, b = 4.3413 Å, c = 4.0346 Å
α = 90.00°, β = 90.00°, γ = 90.00°
Fractional coordinates of all 5 atoms:
F1 0.5000 0.0000 0.0000
F2 0.0000 0.5000 0.0000
Sc1 0.0000 0.0000 0.0000
O1 0.0000 0.0000 0.5000
Rb1 0.5000 0.5000 0.5000

**Density**: 4.03 g/cm³
**Offset from the most stable computed form**: 0.0000 eV/atom
**Formation energy (no corrections)**: -3242 meV/atom
**Crystal system**: tetragonal
**Total moment**: 0.00 μB/cell
**Space-group type**: P4/mmm, No. 123
**E_tot**: -6.4419 eV/atom
**D(E_F)**: 0.00 states/eV per cell

=====

Which formula does entry 2 have?
RbScOF2

=====

Which value of D(E_F) does entry 2 give?
0.00 states/eV per cell